Entry 1:
# MnPBr2, relaxed, DFT PBE
data_MnPBr2
_chemical_formula_sum 'Mn4 P4 Br8'
_cell_length_a 6.442
_cell_length_b 7.442
_cell_length_c 7.931
_cell_angle_alpha 90.00
_cell_angle_beta 90.00
_cell_angle_gamma 90.00
_space_group_name_H-M_alt 'F m m m'
_space_group_IT_number 69
_space_group_name_Hall '-F 2 2'
loop_
_atom_site_label
_atom_site_type_symbol
_atom_site_fract_x
_atom_site_fract_y
_atom_site_fract_z
_atom_site_occupancy
Mn1 Mn 0.000 0.000 0.000 1
P1 P 0.000 0.000 0.500 1
Br1 Br 0.000 0.250 0.250 1
# Raw total energy = -4.151 eV per atom
# Formation energy without anion corrections = 0.330 eV per atom
# E above lowest polymorph = 2.17 eV/f.u.

=====

Entry 2:
# BaLi2MoCl8, relaxed, DFT PBE
data_BaLi2MoCl8
_chemical_formula_sum 'Ba1 Li2 Mo1 Cl8'
_cell_length_a 6.201
_cell_length_b 6.262
_cell_length_c 8.704
_cell_angle_alpha 89.92
_cell_angle_beta 89.92
_cell_angle_gamma 80.07
_space_group_name_H-M_alt 'P -1'
_space_group_IT_number 2
loop_
_space_group_symop_operation_xyz
'x,y,z'
'-x,-y,-z'
loop_
_atom_site_label
_atom_site_type_symbol
_atom_site_fract_x
_atom_site_fract_y
_atom_site_fract_z
_atom_site_occupancy
Ba1 Ba 0.000 0.000 0.000 1
Li1 Li 0.499 0.500 0.194 1
Mo1 Mo 0.000 0.000 0.500 1
Cl1 Cl 0.205 0.277 0.500 1
Cl2 Cl 0.240 0.812 0.700 1
Cl3 Cl 0.240 0.813 0.300 1
Cl4 Cl 0.306 0.339 0.000 1
# Raw total energy = -4.136 eV per atom
# Formation energy without anion corrections = -1.523 eV per atom

=====

Entry 3:
# Dy4GaOs, relaxed, DFT PBE
data_Dy4GaOs
_chemical_formula_sum 'Dy16 Ga4 Os4'
_cell_length_a 8.874
_cell_length_b 13.204
_cell_length_c 6.163
_cell_angle_alpha 90.00
_cell_angle_beta 118.45
_cell_angle_gamma 90.00
_space_group_name_H-M_alt 'C 1 2/c 1'
_space_group_IT_number 15
loop_
_space_group_symop_operation_xyz
'x,y,z'
'-x,-y,-z'
'-x,y,-z+1/2'
'x,-y,z+1/2'
'x+1/2,y+1/2,z'
'-x+1/2,-y+1/2,-z'
'-x+1/2,y+1/2,-z+1/2'
'x+1/2,-y+1/2,z+1/2'
loop_
_atom_site_label
_atom_site_type_symbol
_atom_site_fract_x
_atom_site_fract_y
_atom_site_fract_z
_atom_site_occupancy
Dy1 Dy 0.118 0.174 0.081 1
Dy2 Dy 0.212 0.433 0.309 1
Ga1 Ga 0.000 0.369 0.750 1
Os1 Os 0.000 0.000 0.250 1
# Calculated formation energy = -0.354 eV/atom
# Raw total energy = -5.798 eV per atom

=====

Entry 4:
# LaNdP2Rh5, relaxed, DFT PBE
data_LaNdP2Rh5
_chemical_formula_sum 'La1 Nd1 P2 Rh5'
_cell_length_a 4.078
_cell_length_b 4.078
_cell_length_c 10.916
_cell_angle_alpha 90.00
_cell_angle_beta 90.00
_cell_angle_gamma 90.00
_space_group_name_H-M_alt 'P 4/m m m'
_space_group_IT_number 123
_space_group_name_Hall '-P 4 2'
loop_
_atom_site_label
_atom_site_type_symbol
_atom_site_fract_x
_atom_site_fract_y
_atom_site_fract_z
_atom_site_occupancy
La1 La 0.000 0.000 0.000 1
Nd1 Nd 0.000 0.000 0.500 1
P1 P 0.500 0.500 0.293 1
Rh1 Rh 0.000 0.500 0.203 1
Rh2 Rh 0.500 0.500 0.500 1
# Calculated formation energy = -0.760 eV/atom
# Raw total energy = -7.124 eV per atom

=====

Entry 5:
# CrPd7, relaxed, DFT PBE
data_CrPd7
_chemical_formula_sum 'Cr1 Pd7'
_cell_length_a 5.5354
_cell_length_b 5.5354
_cell_length_c 4.5956
_cell_angle_alpha 90.00
_cell_angle_beta 90.00
_cell_angle_gamma 120.00
_space_group_name_H-M_alt 'P -6 m 2'
_space_group_IT_number 187
_space_group_name_Hall 'P -6 2'
loop_
_atom_site_label
_atom_site_type_symbol
_atom_site_fract_x
_atom_site_fract_y
_atom_site_fract_z
_atom_site_occupancy
Cr1 Cr 0.0000 0.0000 0.0000 1
Pd1 Pd 0.0008 0.5004 0.0000 1
Pd2 Pd 0.3304 0.1652 0.5000 1
Pd3 Pd 0.3333 0.6667 0.5000 1
# Calculated formation energy = -0.019 eV/atom
# Raw total energy = -5.765 eV per atom

=====

Entry 6:
# CrFeS2, relaxed, DFT PBE
data_CrFeS2
_chemical_formula_sum 'Cr3 Fe3 S6'
_cell_length_a 2.9199
_cell_length_b 2.9199
_cell_length_c 21.7957
_cell_angle_alpha 90.00
_cell_angle_beta 90.00
_cell_angle_gamma 120.00
_space_group_name_H-M_alt 'R -3 m'
_space_group_IT_number 166
_space_group_name_Hall '-R 3 2"'
loop_
_atom_site_label
_atom_site_type_symbol
_atom_site_fract_x
_atom_site_fract_y
_atom_site_fract_z
_atom_site_occupancy
Cr1 Cr 0.0000 0.0000 0.0000 1
Fe1 Fe 0.0000 0.0000 0.5000 1
S1 S 0.0000 0.0000 0.4035 1
# Raw total energy = -6.678 eV per atom
# Formation energy without anion corrections = -0.093 eV per atom
# E above lowest polymorph = 1.27 eV/f.u.

=====

Number 1: spin magnetization 1.232 μB/atom. Number 2: spin magnetization 0.167 μB/atom. Number 3: spin magnetization 0.000 μB/atom. Number 4: spin magnetization 0.000 μB/atom. Number 5: spin magnetization 0.420 μB/atom. Number 6: spin magnetization 0.000 μB/atom.